## TeIrRu2 (PBE)

Data for a relaxed TeIrRu2 crystal.

The space group is I-4m2 (No. 119) and the conventional cell measures 4.037, 4.037 and 7.710 Å, with angles of 90.00, 90.00 and 90.00 degrees. Symmetry generates all atoms from Te at (0.000, 0.000, 0.000), Ir at (0.000, 0.500, 0.750), Ru at (0.000, 0.000, 0.500) and Ru at (0.000, 0.500, 0.250).

The value obtained for the total energy is -7.26 eV/atom. For the formation energy without anion corrections, the calculation gives 1.50 eV/f.u.

## Te2IrRu (PBE)

Data for a relaxed Te2IrRu crystal.

The space group is Cmmm (No. 65) and the conventional cell measures 3.173, 5.348 and 9.107 Å, with angles of 90.00, 90.00 and 90.00 degrees. Symmetry generates all atoms from Te at (0.000, 0.000, 0.245), Ir at (0.000, 0.500, 0.500) and Ru at (0.000, 0.500, 0.000).

The value obtained for the total energy is -5.33 eV/atom. For the formation energy without anion corrections, the calculation gives 3.11 eV/f.u. The value obtained for the relative energy among the computed polymorphs is 876 meV/atom.

## TeIrRu (PBE)

Data for a relaxed TeIrRu crystal.

The space group is Imm2 (No. 44) and the conventional cell measures 3.032, 4.075 and 8.261 Å, with angles of 90.00, 90.00 and 90.00 degrees. Symmetry generates all atoms from Te at (0.000, 0.000, 0.000), Ir at (0.000, 0.000, 0.680) and Ru at (0.000, 0.000, 0.321).

The value obtained for the total energy is -6.51 eV/atom. For the formation energy without anion corrections, the calculation gives 1.74 eV/f.u. The value obtained for the relative energy among the computed polymorphs is 303 meV/atom.

## TeIrRu (PBE)

Data for a relaxed TeIrRu crystal.

The space group is I4mm (No. 107) and the conventional cell measures 3.027, 3.027 and 11.285 Å, with angles of 90.00, 90.00 and 90.00 degrees. Symmetry generates all atoms from Te at (0.000, 0.000, 0.000), Ir at (0.000, 0.000, 0.314) and Ru at (0.000, 0.000, 0.665).

The value obtained for the total energy is -6.55 eV/atom. For the formation energy without anion corrections, the calculation gives 1.62 eV/f.u. The value obtained for the relative energy among the computed polymorphs is 263 meV/atom.